This record from the Alexandria database describes a relaxed structure of Cs3CuRh. The functional is PBE-GGA.

Geometry as POSCAR:
```
Cs3CuRh
1.0
-4.2426 -1.5247 4.2067
-4.1962 -0.6568 -4.4700
1.5534 -5.9384 -0.5857
Cs Cu Rh
3 1 1
direct
0.0000 0.0000 0.5000
0.0000 0.5000 0.0000
0.5000 0.0000 0.0000
0.5000 0.5000 0.5000
0.0000 0.0000 0.0000
```

## Properties
DOS at the Fermi energy = 0.450 states/eV/atom
energy of formation = 0.581 eV/atom
magnetization = 0.0 μB/cell



This record from the Alexandria database describes a relaxed structure of Cs2CuRh. The functional is PBE-GGA.

Geometry as POSCAR:
```
Cs2CuRh
1.0
-6.1508 6.1508 2.4552
6.1508 -6.1508 2.4552
6.1508 6.1508 -2.4552
Cu Rh Cs
2 2 4
direct
0.7500 0.2500 0.5000
0.5000 0.5000 0.0000
0.2500 0.7500 0.5000
0.0000 0.0000 0.0000
0.6250 0.8790 0.7540
0.1210 0.8750 0.7460
0.1250 0.8710 0.2460
0.1290 0.3750 0.2540
```

## Properties
DOS at the Fermi energy = 0.999 states/eV/atom
energy of formation = 0.542 eV/atom
relative energy among the computed polymorphs = 0 meV/atom
magnetization = 0.0 μB/cell



This record from the Alexandria database describes a relaxed structure of Cs2CuRh. The functional is PBE-GGA.

Geometry as POSCAR:
```
Cs2CuRh
1.0
-3.3539 -0.9866 4.5415
-0.1856 3.7833 4.3011
-4.7043 3.1666 0.8301
Cs Cu Rh
2 1 1
direct
0.2500 0.2500 0.2500
0.7500 0.7500 0.7500
0.0000 0.0000 0.0000
0.5000 0.5000 0.5000
```

## Properties
DOS at the Fermi energy = 1.213 states/eV/atom
energy of formation = 1.003 eV/atom
relative energy among the computed polymorphs = 460 meV/atom
magnetization = 0.0 μB/cell